# 1
The following is a PBE-GGA calculation of a relaxed structure of InAgPdSeS2, from the Open Quantum Materials Database.

Output
final energy = -47.36 eV for the cell shown
V = 255.7 Å³/cell
symmetry = Cmcm

Cell: 6.822 6.822 10.529 Å, 90.00 90.00 148.54°
Fractional positions:
In (0.177, 0.823, 0.750)
In (0.823, 0.177, 0.250)
Ag (0.154, 0.846, 0.250)
Ag (0.846, 0.154, 0.750)
Pd (0.500, 0.500, 0.000)
Pd (0.500, 0.500, 0.500)
Se (0.478, 0.522, 0.250)
Se (0.522, 0.478, 0.750)
S (0.120, 0.880, 0.012)
S (0.120, 0.880, 0.488)
S (0.880, 0.120, 0.512)
S (0.880, 0.120, 0.988)

***

# 2
The following is a PBE-GGA calculation of a relaxed structure of InAgTe2PdS, from the Open Quantum Materials Database.

Output
final energy = -43.27 eV for the cell shown
V = 292.7 Å³/cell
symmetry = Cmcm

Cell: 7.634 7.634 10.568 Å, 90.00 90.00 151.62°
Fractional positions:
In (0.240, 0.760, 0.750)
In (0.760, 0.240, 0.250)
Ag (0.493, 0.507, 0.750)
Ag (0.507, 0.493, 0.250)
Te (0.375, 0.625, 0.055)
Te (0.375, 0.625, 0.445)
Te (0.625, 0.375, 0.555)
Te (0.625, 0.375, 0.945)
Pd (0.000, 0.000, 0.000)
Pd (0.000, 0.000, 0.500)
S (0.137, 0.863, 0.250)
S (0.863, 0.137, 0.750)

***

# 3
The following is a PBE-GGA calculation of a relaxed structure of ScInAgPd, from the Open Quantum Materials Database.

Output
final energy = -19.31 eV for the cell shown
V = 74.3 Å³/cell
symmetry = F-43m

Cell: 4.719 4.719 4.719 Å, 60.00 60.00 60.00°
Fractional positions:
Sc (0.000, 0.000, 0.000)
In (0.500, 0.500, 0.500)
Ag (0.250, 0.250, 0.250)
Pd (0.750, 0.750, 0.750)

***

# 4
The following is a PBE-GGA calculation of a relaxed structure of ScInAgPd, from the Open Quantum Materials Database.

Output
final energy = -18.77 eV for the cell shown
V = 74.3 Å³/cell
symmetry = F-43m

Cell: 4.719 4.719 4.719 Å, 60.00 60.00 60.00°
Fractional positions:
Sc (0.000, 0.000, 0.000)
In (0.750, 0.750, 0.750)
Ag (0.250, 0.250, 0.250)
Pd (0.500, 0.500, 0.500)

***

# 5
The following is a PBE-GGA calculation of a relaxed structure of ScInAgPd, from the Open Quantum Materials Database.

Output
final energy = -18.72 eV for the cell shown
V = 75.2 Å³/cell
symmetry = F-43m

Cell: 4.738 4.738 4.738 Å, 60.00 60.00 60.00°
Fractional positions:
Sc (0.000, 0.000, 0.000)
In (0.250, 0.250, 0.250)
Ag (0.500, 0.500, 0.500)
Pd (0.750, 0.750, 0.750)

***

# 6
The following is a PBE-GGA calculation of a relaxed structure of InAgPdSe3, from the Open Quantum Materials Database.

Output
final energy = -43.71 eV for the cell shown
V = 255.4 Å³/cell
symmetry = Cmcm

Cell: 7.130 7.130 9.919 Å, 90.00 90.00 149.58°
Fractional positions:
In (0.221, 0.779, 0.750)
In (0.779, 0.221, 0.250)
Ag (0.484, 0.516, 0.250)
Ag (0.516, 0.484, 0.750)
Pd (0.000, 0.000, 0.000)
Pd (0.000, 0.000, 0.500)
Se (0.122, 0.878, 0.250)
Se (0.368, 0.632, 0.038)
Se (0.368, 0.632, 0.462)
Se (0.632, 0.368, 0.538)
Se (0.632, 0.368, 0.962)
Se (0.878, 0.122, 0.750)

***

> final energy of number 4 (ScInAgPd)?

-18.77 eV for the cell shown

***

> Which of these has the highest V?

InAgTe2PdS